1.
## NaHfPd3 (PBE)

Data for crystalline NaHfPd3 at its relaxed geometry.

abc: 4.959 4.959 4.959
angles: 90.00 90.00 90.00
Atoms (fractional coordinates):
Na 0.000 0.000 0.000
Hf 0.500 0.500 0.500
Pd 0.000 0.500 0.500
Pd 0.500 0.000 0.500
Pd 0.500 0.500 0.000

Output
For the energy above the most stable polymorph in this dataset, the calculation gives 0 meV per atom. The calculation puts the formation energy at 248 meV per atom. Its space-group type is Pm-3m.



2.
## NaHfPd2 (PBE)

Data for crystalline NaHfPd2 at its relaxed geometry.

abc: 3.288 3.288 7.295
angles: 90.00 90.00 90.00
Atoms (fractional coordinates):
Na 0.000 0.000 0.000
Hf 0.000 0.000 0.500
Pd 0.500 0.500 0.292
Pd 0.500 0.500 0.708

Output
The calculation puts the formation energy at -503 meV per atom. Its space-group type is P4/mmm.



3.
## NaHfPd2 (PBE)

Data for crystalline NaHfPd2 at its relaxed geometry.

abc: 5.946 5.946 5.946
angles: 104.56 104.56 119.83
Atoms (fractional coordinates):
Na 0.000 0.000 0.000
Na 0.750 0.250 0.500
Hf 0.250 0.750 0.500
Hf 0.500 0.500 0.000
Pd 0.143 0.625 0.018
Pd 0.375 0.393 0.518
Pd 0.607 0.125 0.982
Pd 0.875 0.857 0.482

Output
The calculation puts the formation energy at -63 meV per atom. Its space-group type is I-42d.



4.
## NaHf3Pd (PBE)

Data for crystalline NaHf3Pd at its relaxed geometry.

abc: 4.867 4.867 4.867
angles: 90.00 90.00 90.00
Atoms (fractional coordinates):
Na 0.000 0.000 0.000
Hf 0.000 0.000 0.500
Hf 0.000 0.500 0.000
Hf 0.500 0.000 0.000
Pd 0.500 0.500 0.500

Output
For the energy above the most stable polymorph in this dataset, the calculation gives 1007 meV per atom. The calculation puts the formation energy at 1633 meV per atom. Its space-group type is Pm-3m.



5.
## Na3HfPd (PBE)

Data for crystalline Na3HfPd at its relaxed geometry.

abc: 5.985 5.985 5.985
angles: 90.00 90.00 90.00
Atoms (fractional coordinates):
Na 0.000 0.000 0.500
Na 0.000 0.500 0.000
Na 0.500 0.000 0.000
Hf 0.000 0.000 0.000
Pd 0.500 0.500 0.500

Output
For the energy above the most stable polymorph in this dataset, the calculation gives 684 meV per atom. The calculation puts the formation energy at 1630 meV per atom. Its space-group type is Pm-3m.



6.
## Na3HfPd (PBE)

Data for crystalline Na3HfPd at its relaxed geometry.

abc: 5.227 5.227 5.227
angles: 90.00 90.00 90.00
Atoms (fractional coordinates):
Na 0.000 0.000 0.500
Na 0.000 0.500 0.000
Na 0.500 0.000 0.000
Hf 0.500 0.500 0.500
Pd 0.000 0.000 0.000

Output
For the energy above the most stable polymorph in this dataset, the calculation gives 0 meV per atom. The calculation puts the formation energy at 946 meV per atom. Its space-group type is Pm-3m.



7.
## Na2HfPd2 (PBE)

Data for crystalline Na2HfPd2 at its relaxed geometry.

abc: 7.970 7.970 3.015
angles: 90.00 90.00 90.00
Atoms (fractional coordinates):
Na 0.116 0.384 0.000
Na 0.384 0.884 0.000
Na 0.616 0.116 0.000
Na 0.884 0.616 0.000
Hf 0.000 0.000 0.500
Hf 0.500 0.500 0.500
Pd 0.187 0.687 0.500
Pd 0.313 0.187 0.500
Pd 0.687 0.813 0.500
Pd 0.813 0.313 0.500

Output
The calculation puts the formation energy at 69 meV per atom. Its space-group type is P4/mbm.



8.
## RbNaHf2Pd (PBE)

Data for crystalline RbNaHf2Pd at its relaxed geometry.

abc: 5.092 5.092 6.615
angles: 90.00 90.00 90.00
Atoms (fractional coordinates):
Rb 0.000 0.000 0.000
Na 0.500 0.500 0.000
Hf 0.000 0.500 0.500
Hf 0.500 0.000 0.500
Pd 0.000 0.000 0.500

Output
The calculation puts the formation energy at 717 meV per atom. Its space-group type is P4/mmm.